# PBE-GGA Mg2CoAuC, relaxed
# Density of states at the Fermi level (states/eV per cell): 2.4
# Size of the total moment (μB per formula unit): 0.1
# Volume (Å³ per cell): 72
data_Mg2CoAuC
_chemical_formula_sum 'Mg2 Co1 Au1 C1'
_cell_length_a 4.4702
_cell_length_b 4.4702
_cell_length_c 3.6084
_cell_angle_alpha 90.00
_cell_angle_beta 90.00
_cell_angle_gamma 90.00
_space_group_name_H-M_alt 'P 4/m m m'
_space_group_IT_number 123
_space_group_name_Hall '-P 4 2'
loop_
_atom_site_label
_atom_site_type_symbol
_atom_site_fract_x
_atom_site_fract_y
_atom_site_fract_z
Mg1 Mg 0.0000 0.5000 0.0000
Co1 Co 0.0000 0.0000 0.5000
Au1 Au 0.5000 0.5000 0.5000
C1 C 0.0000 0.0000 0.0000



# PBE-GGA Mn2CoAuC, relaxed
# Density of states at the Fermi level (states/eV per cell): 3.2
# Size of the total moment (μB per formula unit): 6.9
# Volume (Å³ per cell): 61
data_Mn2CoAuC
_chemical_formula_sum 'Mn2 Co1 Au1 C1'
_cell_length_a 3.9855
_cell_length_b 3.9855
_cell_length_c 3.8247
_cell_angle_alpha 90.00
_cell_angle_beta 90.00
_cell_angle_gamma 90.00
_space_group_name_H-M_alt 'P 4/m m m'
_space_group_IT_number 123
_space_group_name_Hall '-P 4 2'
loop_
_atom_site_label
_atom_site_type_symbol
_atom_site_fract_x
_atom_site_fract_y
_atom_site_fract_z
Mn1 Mn 0.0000 0.5000 0.0000
Co1 Co 0.0000 0.0000 0.5000
Au1 Au 0.5000 0.5000 0.5000
C1 C 0.0000 0.0000 0.0000



# PBE-GGA Nb2CoAuC, relaxed
# Density of states at the Fermi level (states/eV per cell): 4.9
# Size of the total moment (μB per formula unit): 0.9
# Volume (Å³ per cell): 72
data_Nb2CoAuC
_chemical_formula_sum 'Nb2 Co1 Au1 C1'
_cell_length_a 4.3575
_cell_length_b 4.3575
_cell_length_c 3.7939
_cell_angle_alpha 90.00
_cell_angle_beta 90.00
_cell_angle_gamma 90.00
_space_group_name_H-M_alt 'P 4/m m m'
_space_group_IT_number 123
_space_group_name_Hall '-P 4 2'
loop_
_atom_site_label
_atom_site_type_symbol
_atom_site_fract_x
_atom_site_fract_y
_atom_site_fract_z
Nb1 Nb 0.0000 0.5000 0.0000
Co1 Co 0.0000 0.0000 0.5000
Au1 Au 0.5000 0.5000 0.5000
C1 C 0.0000 0.0000 0.0000



# PBE-GGA Co2NiAuC, relaxed
# E above lowest polymorph (kJ/mol of atoms): 0.0
# Density of states at the Fermi level (states/eV per cell): 5.2
# Size of the total moment (μB per formula unit): 1.3
# Volume (Å³ per cell): 56
data_Co2NiAuC
_chemical_formula_sum 'Co2 Ni1 Au1 C1'
_cell_length_a 3.8077
_cell_length_b 3.8077
_cell_length_c 3.8794
_cell_angle_alpha 90.00
_cell_angle_beta 90.00
_cell_angle_gamma 90.00
_space_group_name_H-M_alt 'P 4/m m m'
_space_group_IT_number 123
_space_group_name_Hall '-P 4 2'
loop_
_atom_site_label
_atom_site_type_symbol
_atom_site_fract_x
_atom_site_fract_y
_atom_site_fract_z
Co1 Co 0.0000 0.5000 0.0000
Ni1 Ni 0.0000 0.0000 0.5000
Au1 Au 0.5000 0.5000 0.5000
C1 C 0.0000 0.0000 0.0000



# PBE-GGA Co2NiAuC, relaxed
# E above lowest polymorph (kJ/mol of atoms): 240.9
# Density of states at the Fermi level (states/eV per cell): 7.9
# Size of the total moment (μB per formula unit): 5.4
# Volume (Å³ per cell): 101
data_Co2NiAuC
_chemical_formula_sum 'Co2 Ni1 Au1 C1'
_cell_length_a 4.6503
_cell_length_b 4.6503
_cell_length_c 4.6658
_cell_angle_alpha 90.00
_cell_angle_beta 90.00
_cell_angle_gamma 90.00
_space_group_name_H-M_alt 'P 4/m m m'
_space_group_IT_number 123
_space_group_name_Hall '-P 4 2'
loop_
_atom_site_label
_atom_site_type_symbol
_atom_site_fract_x
_atom_site_fract_y
_atom_site_fract_z
Co1 Co 0.0000 0.5000 0.0000
Ni1 Ni 0.0000 0.0000 0.5000
Au1 Au 0.0000 0.0000 0.0000
C1 C 0.5000 0.5000 0.5000



# PBE-GGA CoNi2AuC, relaxed
# Density of states at the Fermi level (states/eV per cell): 4.9
# Size of the total moment (μB per formula unit): 0.3
# Volume (Å³ per cell): 56
data_CoNi2AuC
_chemical_formula_sum 'Co1 Ni2 Au1 C1'
_cell_length_a 3.8632
_cell_length_b 3.8632
_cell_length_c 3.7793
_cell_angle_alpha 90.00
_cell_angle_beta 90.00
_cell_angle_gamma 90.00
_space_group_name_H-M_alt 'P 4/m m m'
_space_group_IT_number 123
_space_group_name_Hall '-P 4 2'
loop_
_atom_site_label
_atom_site_type_symbol
_atom_site_fract_x
_atom_site_fract_y
_atom_site_fract_z
Co1 Co 0.0000 0.0000 0.0000
Ni1 Ni 0.0000 0.5000 0.5000
Au1 Au 0.5000 0.5000 0.0000
C1 C 0.0000 0.0000 0.5000



Formation energy from the elements
In order: -87.2, 32.6, -129.8, 180.1, 2676.6, 145.2
Unit: meV per atom